Record 1
First-principles (GGA-PBE) data for crystalline Hf3GeB4 at its relaxed geometry, as listed in the Open Quantum Materials Database.

Summary:
Calculated density in g/cm³: 11.16
Total magnetization in μB per atom: 0.000
Total energy in eV per cell: -67.1

Lattice parameters (Å, degrees): 3.140 3.533 8.733 90.00 90.00 90.00
Space group Pmmm (No. 47)
Asymmetric unit:
1 Hf 0.000 0.000 0.000
2 Hf 0.500 0.000 0.310
3 Ge 0.000 0.500 0.500
4 B 0.000 0.500 0.204
5 B 0.500 0.500 0.108

Record 2
First-principles (GGA-PBE) data for crystalline Tb4PmAg5 at its relaxed geometry, as listed in the Open Quantum Materials Database.

Summary:
Calculated density in g/cm³: 8.99
Total magnetization in μB per atom: 0.005
Total energy in eV per cell: -40.6
Formation energy from the elements in meV/atom: -318

Lattice parameters (Å, degrees): 3.645 3.645 18.350 90.00 90.00 90.00
Space group P4/mmm (No. 123)
Asymmetric unit:
1 Tb 0.000 0.000 0.099
2 Tb 0.000 0.000 0.297
3 Pm 0.000 0.000 0.500
4 Ag 0.500 0.500 0.000
5 Ag 0.500 0.500 0.198
6 Ag 0.500 0.500 0.394

Record 3
First-principles (GGA-PBE) data for crystalline RbHfB at its relaxed geometry, as listed in the Open Quantum Materials Database.

Summary:
Calculated density in g/cm³: 6.69
Total magnetization in μB per atom: 0.001
Total energy in eV per cell: -50.1

Lattice parameters (Å, degrees): 6.487 6.487 6.487 90.00 90.00 90.00
Space group F-43m (No. 216)
Asymmetric unit:
1 Rb 0.000 0.000 0.000
2 Hf 0.000 0.000 0.500
3 B 0.250 0.250 0.750

Record 4
First-principles (GGA-PBE) data for crystalline NbCoSn at its relaxed geometry, as listed in the Open Quantum Materials Database.

Summary:
Calculated density in g/cm³: 8.74
Total magnetization in μB per atom: 0.001
Total energy in eV per cell: -43.5

Lattice parameters (Å, degrees): 4.2384 4.2384 6.6047 90.00 90.00 120.00
Space group P6_3mc (No. 186)
Asymmetric unit:
1 Nb 0.0000 0.0000 0.0000
2 Co 0.3333 0.6667 0.3701
3 Sn 0.3333 0.6667 0.7546